ZrBePb2 | OQMD via LeMat-Bulk | PBE-GGA | relaxed; calculated total energy = -4.28 eV/atom
1.0
0.000 3.633 3.633
3.633 0.000 3.633
3.633 3.633 0.000
Zr Be Pb
1 1 2
Cartesian
0.000 0.000 0.000
1.816 1.816 1.816
3.633 3.633 3.633
5.449 5.449 5.449


NbCdCuNi | OQMD via LeMat-Bulk | PBE-GGA | relaxed; calculated total energy = -5.04 eV/atom; offset from the most stable computed form = 0.000 eV per atom; formation energy from the elements = 28.1 meV/atom
1.0
0.000 3.101 3.101
3.101 0.000 3.101
3.101 3.101 0.000
Nb Cd Cu Ni
1 1 1 1
Cartesian
0.000 0.000 0.000
3.101 3.101 3.101
1.550 1.550 1.550
4.651 4.651 4.651


CdSiTcNi | OQMD via LeMat-Bulk | PBE-GGA | relaxed; calculated total energy = -5.45 eV/atom
1.0
0.000 3.047 3.047
3.047 0.000 3.047
3.047 3.047 0.000
Cd Si Tc Ni
1 1 1 1
Cartesian
0.000 0.000 0.000
3.047 3.047 3.047
1.524 1.524 1.524
4.571 4.571 4.571


Li2TaIn2MoOs2 | OQMD via LeMat-Bulk | PBE-GGA | relaxed; calculated total energy = -6.84 eV/atom
1.0
4.471 0.000 0.000
0.000 4.471 0.000
0.000 0.000 6.315
Li Ta In Mo Os
2 1 2 1 2
Cartesian
0.000 2.236 1.549
2.236 0.000 4.766
0.000 0.000 3.158
0.000 0.000 0.000
2.236 2.236 3.158
2.236 2.236 0.000
0.000 2.236 4.776
2.236 0.000 1.540